The following is a SCAN calculation of a PBEsol-optimized structure of YTaAg2, from the Alexandria database.

As for the formation energy: 1.133 eV/f.u. As for the magnetization: 0.00 μB per atom. The calculation puts the total energy at -39.0068 eV per atom. For the energy above the most stable polymorph in this dataset, the calculation gives 0.32 eV/f.u.

The structure belongs to space group Cm (No. 8); the cell edges are 10.102, 2.964 and 5.288 Å and the angles 90.00°, 102.88° and 90.00°. Symmetry generates all atoms from Y at (0.000, 0.000, 0.000), Ta at (0.261, 0.500, 0.324), Ag at (0.011, 0.500, 0.501) and Ag at (0.240, 0.000, 0.791).

---

The following is a SCAN calculation of a PBEsol-optimized structure of Ta2ZnAg, from the Alexandria database.

As for the formation energy: 0.718 eV/f.u. As for the magnetization: 0.00 μB per atom. The calculation puts the total energy at -44.3328 eV per atom.

The structure belongs to space group R3m (No. 160, hexagonal axes); the cell edges are 2.8338, 2.8338 and 28.7046 Å and the angles 90.00°, 90.00° and 120.00°. Symmetry generates all atoms from Ta at (0.0000, 0.0000, 0.0000), Ta at (0.0000, 0.0000, 0.2441), Zn at (0.0000, 0.0000, 0.7480) and Ag at (0.0000, 0.0000, 0.4916).

---

The following is a SCAN calculation of a PBEsol-optimized structure of Ta2ZnAg, from the Alexandria database.

As for the formation energy: 0.160 eV/f.u. As for the magnetization: 0.00 μB per atom. The calculation puts the total energy at -44.4723 eV per atom.

The structure belongs to space group Cmm2 (No. 35); the cell edges are 3.508, 4.297 and 8.719 Å and the angles 90.00°, 90.00° and 90.00°. Symmetry generates all atoms from Ta at (0.000, 0.000, 0.000), Ta at (0.000, 0.500, 0.258), Zn at (0.000, 0.500, 0.755) and Ag at (0.000, 0.000, 0.521).

---

The following is a SCAN calculation of a PBEsol-optimized structure of TaZnAg2, from the Alexandria database.

As for the formation energy: 0.834 eV/f.u. As for the magnetization: 0.00 μB per atom. The calculation puts the total energy at -35.4997 eV per atom.

The structure belongs to space group Amm2 (No. 38); the cell edges are 4.250, 2.719 and 11.156 Å and the angles 90.00°, 90.00° and 90.00°. Symmetry generates all atoms from Ta at (0.000, 0.000, 0.000), Zn at (0.500, 0.000, 0.390), Ag at (0.000, 0.000, 0.257) and Ag at (0.500, 0.000, 0.636).